VASP calculation (PBE-GGA) on crystalline Th2AgTe2N2 at its relaxed geometry.

Lattice parameters (Å, degrees): 4.0418 4.0418 13.0163 90.00 90.00 120.00
Closest atoms and distances in Å follow each position.
Positions (direct):
N 0.6667 0.3333 0.5711  4 Th 2.40
Ag 0.0000 0.0000 0.0000  2 Te 2.63
Th 0.6667 0.3333 0.3868  4 N 2.40
N 0.3333 0.6667 0.4289  4 Th 2.40
Te 0.0000 0.0000 0.7976  1 Ag 2.63
Te 0.0000 0.0000 0.2024  1 Ag 2.63
Th 0.3333 0.6667 0.6132  4 N 2.40

V in A^3/atom: 26.31
VASP energy in eV/atom: -6.911
DOS(E_F) in states/eV/f.u.: 3.329
Theoretical density in Mg/m³: 7.7
Uncorrected formation energy in eV per atom: -1.11